Computed, not measured: a relaxed VCrMo crystal at the GGA-PBE level of DFT.

Geometry as POSCAR:
```
VCrMo
1.0
-1.400 -2.660 0.103
1.682 -0.794 2.363
-6.201 3.479 5.583
Cr Mo V
2 2 2
Direct
0.500 0.000 0.076
0.000 0.500 0.924
0.500 0.000 0.410
0.000 0.500 0.590
0.000 0.500 0.236
0.500 0.000 0.764
```

Summary:
The distance to the lowest polymorph of the same formula comes out at 0.011 eV per atom. Its crystal system is tetragonal. The total energy is -9.92 eV/atom. As for the energy of formation from the pure elements: -0.06 eV per atom. Its symmetry is No. 129.